Entry 1:
The following is a GGA-PBE calculation of crystalline Tm3Zn8In at its relaxed geometry, from Alexandria.

Cell and atoms, written as POSCAR:
```
Tm3Zn8In
1.0
5.443 0.000 0.000
2.722 4.714 0.000
2.722 1.571 8.716
Tm Zn In
3 8 1
Direct
0.377 0.377 0.870
0.996 0.996 0.012
0.502 0.502 0.493
0.939 0.439 0.183
0.431 0.940 0.690
0.439 0.439 0.183
0.940 0.940 0.690
0.187 0.187 0.438
0.688 0.688 0.935
0.439 0.939 0.183
0.940 0.431 0.690
0.873 0.873 0.381
```

formation energy	-266	meV per atom
Fermi-level density of states	5.165	states/eV per cell

---

Entry 2:
The following is a GGA-PBE calculation of crystalline TmZnIn2 at its relaxed geometry, from Alexandria.

Cell and atoms, written as POSCAR:
```
TmZnIn2
1.0
4.556 0.000 0.000
2.278 3.946 0.000
2.278 1.315 5.265
Zn Tm In
1 1 2
Direct
0.500 0.500 0.500
0.000 0.000 0.000
0.773 0.773 0.681
0.227 0.227 0.319
```

formation energy	-161	meV per atom
Fermi-level density of states	1.534	states/eV per cell

---

Entry 3:
The following is a GGA-PBE calculation of crystalline Tm6ZnIn2 at its relaxed geometry, from Alexandria.

Cell and atoms, written as POSCAR:
```
Tm6ZnIn2
1.0
-0.941 -3.872 3.086
5.290 -3.720 -3.053
2.700 6.611 4.999
Tm Zn In
6 1 2
Direct
0.161 0.404 0.322
0.839 0.082 0.678
0.839 0.596 0.678
0.500 0.235 0.000
0.161 0.918 0.322
0.500 0.765 0.000
0.000 0.000 0.000
0.666 0.666 0.333
0.334 0.334 0.667
```

formation energy	-36	meV per atom
Fermi-level density of states	10.911	states/eV per cell

---

Entry 4:
The following is a GGA-PBE calculation of crystalline TmZn2In at its relaxed geometry, from Alexandria.

Cell and atoms, written as POSCAR:
```
TmZn2In
1.0
-0.448 1.111 -3.270
-2.827 -2.012 -0.297
-3.946 5.204 2.308
Zn Tm In
2 1 1
Direct
0.000 0.000 0.763
0.000 0.000 0.237
0.500 0.500 0.500
0.500 0.500 0.000
```

formation energy	-152	meV per atom
Fermi-level density of states	2.275	states/eV per cell

---

Entry 5:
The following is a GGA-PBE calculation of crystalline Tm2ZnIn at its relaxed geometry, from Alexandria.

Cell and atoms, written as POSCAR:
```
Tm2ZnIn
1.0
-2.369 -1.293 -4.358
2.108 -3.469 -3.131
-2.123 -4.641 -0.484
Zn Tm In
1 2 1
Direct
0.750 0.750 0.750
0.000 0.000 0.000
0.500 0.500 0.500
0.250 0.250 0.250
```

formation energy	-381	meV per atom
Fermi-level density of states	3.137	states/eV per cell

---

Entry 6:
The following is a GGA-PBE calculation of crystalline TmZnIn at its relaxed geometry, from Alexandria.

Cell and atoms, written as POSCAR:
```
TmZnIn
1.0
-1.533 -2.670 3.472
-0.873 -4.497 -0.742
2.773 -3.236 1.837
Zn Tm In
1 1 1
Direct
0.250 0.250 0.250
0.500 0.500 0.500
0.000 0.000 0.000
```

formation energy	-352	meV per atom
Fermi-level density of states	0.806	states/eV per cell

---

Entry 7:
The following is a GGA-PBE calculation of crystalline Tm5ZnIn4 at its relaxed geometry, from Alexandria.

Cell and atoms, written as POSCAR:
```
Tm5ZnIn4
1.0
3.556 0.000 0.000
0.000 3.556 0.000
0.000 0.000 19.695
Tm Zn In
5 1 4
Direct
0.500 0.500 0.086
0.500 0.500 0.292
0.500 0.500 0.500
0.500 0.500 0.708
0.500 0.500 0.914
0.000 0.000 0.000
0.000 0.000 0.189
0.000 0.000 0.396
0.000 0.000 0.604
0.000 0.000 0.811
```

formation energy	-424	meV per atom
Fermi-level density of states	6.533	states/eV per cell

---

Entry 8:
The following is a GGA-PBE calculation of crystalline Tm5Zn2In at its relaxed geometry, from Alexandria.

Cell and atoms, written as POSCAR:
```
Tm5Zn2In
1.0
-3.494 -1.066 6.500
-4.200 -5.307 -3.128
8.859 -1.878 0.178
Tm Zn In
10 4 2
Direct
0.519 0.687 0.706
0.813 0.981 0.294
0.000 0.000 0.000
0.500 0.500 0.000
0.187 0.019 0.706
0.687 0.187 0.706
0.019 0.519 0.706
0.313 0.813 0.294
0.981 0.481 0.294
0.481 0.313 0.294
0.123 0.377 0.000
0.623 0.123 0.000
0.377 0.877 0.000
0.877 0.623 0.000
0.750 0.750 0.500
0.250 0.250 0.500
```

formation energy	-281	meV per atom
Fermi-level density of states	12.729	states/eV per cell

---

Entry 9:
The following is a GGA-PBE calculation of crystalline TmZnIn2 at its relaxed geometry, from Alexandria.

Cell and atoms, written as POSCAR:
```
TmZnIn2
1.0
3.605 0.000 0.000
0.000 3.605 0.000
0.000 0.000 7.128
Zn Tm In
1 1 2
Direct
0.500 0.500 0.000
0.500 0.500 0.500
0.000 0.000 0.783
0.000 0.000 0.217
```

formation energy	-167	meV per atom
Fermi-level density of states	2.791	states/eV per cell

---

Entry 10:
The following is a GGA-PBE calculation of crystalline TmZnIn2 at its relaxed geometry, from Alexandria.

Cell and atoms, written as POSCAR:
```
TmZnIn2
1.0
-0.241 4.391 0.812
-0.920 0.745 -4.303
-4.361 -0.399 0.864
Zn Tm In
1 1 2
Direct
0.500 0.000 0.000
0.500 0.500 0.500
0.000 0.000 0.500
0.000 0.500 0.000
```

formation energy	-326	meV per atom
Fermi-level density of states	1.817	states/eV per cell

---

Entry 11:
The following is a GGA-PBE calculation of crystalline TmZn2In at its relaxed geometry, from Alexandria.

Cell and atoms, written as POSCAR:
```
TmZn2In
1.0
-0.709 -1.218 -3.800
1.337 -4.147 1.080
-4.213 -1.065 1.127
Zn Tm In
2 1 1
Direct
0.000 0.000 0.500
0.000 0.500 0.000
0.500 0.500 0.500
0.500 0.000 0.000
```

formation energy	-281	meV per atom
Fermi-level density of states	2.308	states/eV per cell

---

Entry 12:
The following is a GGA-PBE calculation of crystalline TmZn4In at its relaxed geometry, from Alexandria.

Cell and atoms, written as POSCAR:
```
TmZn4In
1.0
5.420 0.000 0.000
2.710 4.693 0.000
2.710 1.564 4.425
Zn Tm In
4 1 1
Direct
0.624 0.624 0.127
0.624 0.127 0.624
0.624 0.624 0.624
0.127 0.624 0.624
0.250 0.250 0.250
0.000 0.000 0.000
```

formation energy	-139	meV per atom
Fermi-level density of states	3.223	states/eV per cell

---

Entry 13:
The following is a GGA-PBE calculation of crystalline Tm7Zn4In at its relaxed geometry, from Alexandria.

Cell and atoms, written as POSCAR:
```
Tm7Zn4In
1.0
5.590 0.000 0.000
2.795 7.986 1.053
2.795 1.172 6.807
Tm Zn In
7 4 1
Direct
0.811 0.876 0.503
0.189 0.124 0.497
0.077 0.588 0.258
0.923 0.412 0.742
0.272 0.688 0.768
0.500 0.000 0.000
0.728 0.312 0.232
0.521 0.323 0.636
0.479 0.677 0.364
0.686 0.662 0.967
0.314 0.338 0.033
0.000 0.000 0.000
```

formation energy	-102	meV per atom
Fermi-level density of states	10.181	states/eV per cell

---

Entry 14:
The following is a GGA-PBE calculation of crystalline Tm8ZnIn2 at its relaxed geometry, from Alexandria.

Cell and atoms, written as POSCAR:
```
Tm8ZnIn2
1.0
5.120 0.000 0.000
0.000 6.705 0.279
-2.560 -2.512 8.710
Tm Zn In
8 1 2
Direct
0.407 0.545 0.815
0.652 0.964 0.304
0.798 0.710 0.596
0.983 0.231 0.965
0.202 0.290 0.404
0.348 0.036 0.696
0.593 0.455 0.185
0.017 0.769 0.035
0.500 0.000 0.000
0.812 0.263 0.624
0.188 0.737 0.376
```

formation energy	-191	meV per atom
Fermi-level density of states	10.241	states/eV per cell

---

Entry 15:
The following is a GGA-PBE calculation of crystalline TmZnIn at its relaxed geometry, from Alexandria.

Cell and atoms, written as POSCAR:
```
TmZnIn
1.0
3.554 0.000 0.000
0.000 4.649 0.000
0.000 -2.324 4.026
Zn Tm In
1 1 1
Direct
0.166 0.333 0.667
0.667 0.667 0.333
0.167 0.000 0.000
```

formation energy	-388	meV per atom
Fermi-level density of states	1.541	states/eV per cell

---

Entry 16:
The following is a GGA-PBE calculation of crystalline Tm3Zn8In3 at its relaxed geometry, from Alexandria.

Cell and atoms, written as POSCAR:
```
Tm3Zn8In3
1.0
-3.642 1.662 1.637
-0.992 -3.824 7.392
2.535 5.267 6.006
Tm Zn In
3 8 3
Direct
0.500 0.500 0.500
0.800 0.200 0.200
0.200 0.800 0.800
0.655 0.080 0.609
0.345 0.920 0.391
0.655 0.609 0.080
0.345 0.391 0.920
0.835 0.789 0.542
0.165 0.211 0.458
0.835 0.542 0.789
0.165 0.458 0.211
0.500 0.000 0.000
0.000 0.784 0.216
0.000 0.216 0.784
```

formation energy	-290	meV per atom
Fermi-level density of states	4.508	states/eV per cell

---

Entry 17:
The following is a GGA-PBE calculation of crystalline Tm3ZnIn at its relaxed geometry, from Alexandria.

Cell and atoms, written as POSCAR:
```
Tm3ZnIn
1.0
-0.080 0.704 4.994
-6.724 -4.025 0.459
6.869 -3.747 0.638
Tm Zn In
6 2 2
Direct
0.250 0.810 0.190
0.750 0.190 0.810
0.250 0.810 0.620
0.750 0.190 0.380
0.250 0.380 0.190
0.750 0.620 0.810
0.000 0.000 0.000
0.500 0.000 0.000
0.250 0.333 0.667
0.750 0.667 0.333
```

formation energy	-156	meV per atom
Fermi-level density of states	6.294	states/eV per cell

---

Entry 18:
The following is a GGA-PBE calculation of crystalline TmZnIn at its relaxed geometry, from Alexandria.

Cell and atoms, written as POSCAR:
```
TmZnIn
1.0
3.442 0.000 0.000
0.000 3.442 0.000
-1.721 -1.721 5.706
Zn Tm In
1 1 1
Direct
0.279 0.279 0.558
0.938 0.938 0.877
0.633 0.633 0.266
```

formation energy	-237	meV per atom
Fermi-level density of states	1.810	states/eV per cell

---

Entry 19:
The following is a GGA-PBE calculation of crystalline Tm2ZnIn at its relaxed geometry, from Alexandria.

Cell and atoms, written as POSCAR:
```
Tm2ZnIn
1.0
3.590 0.000 0.000
0.000 3.590 0.000
0.000 0.000 7.349
Zn Tm In
1 2 1
Direct
0.500 0.500 0.000
0.000 0.000 0.770
0.000 0.000 0.230
0.500 0.500 0.500
```

formation energy	-402	meV per atom
Fermi-level density of states	3.162	states/eV per cell

---

Entry 20:
The following is a GGA-PBE calculation of crystalline Tm3ZnIn3 at its relaxed geometry, from Alexandria.

Cell and atoms, written as POSCAR:
```
Tm3ZnIn3
1.0
4.519 0.000 0.681
2.221 5.529 0.593
0.181 0.194 14.140
Tm Zn In
6 2 6
Direct
0.535 0.313 0.618
0.465 0.687 0.382
0.265 0.245 0.224
0.735 0.755 0.776
0.403 0.275 0.919
0.597 0.725 0.081
0.758 0.103 0.382
0.242 0.897 0.618
0.860 0.735 0.545
0.140 0.265 0.455
0.123 0.828 0.926
0.877 0.172 0.074
0.980 0.806 0.234
0.020 0.194 0.766
```

formation energy	-380	meV per atom
Fermi-level density of states	9.317	states/eV per cell

---

Entry 21:
The following is a GGA-PBE calculation of crystalline Tm2Zn3In at its relaxed geometry, from Alexandria.

Cell and atoms, written as POSCAR:
```
Tm2Zn3In
1.0
-1.225 -3.219 1.034
4.269 -1.545 0.249
-1.135 4.676 6.961
Tm Zn In
2 3 1
Direct
0.141 0.141 0.281
0.858 0.358 0.715
0.697 0.697 0.395
0.545 0.545 0.090
0.297 0.797 0.595
0.462 0.962 0.924
```

formation energy	-285	meV per atom
Fermi-level density of states	5.423	states/eV per cell

---

Entry 22:
The following is a GGA-PBE calculation of crystalline Tm5Zn4In at its relaxed geometry, from Alexandria.

Cell and atoms, written as POSCAR:
```
Tm5Zn4In
1.0
3.535 0.000 0.000
0.000 3.535 0.000
0.000 0.000 18.056
Tm Zn In
5 4 1
Direct
0.500 0.500 0.114
0.500 0.500 0.306
0.500 0.500 0.500
0.500 0.500 0.694
0.500 0.500 0.886
0.000 0.000 0.211
0.000 0.000 0.402
0.000 0.000 0.598
0.000 0.000 0.789
0.000 0.000 0.000
```

formation energy	-373	meV per atom
Fermi-level density of states	8.183	states/eV per cell

---

Entry 23:
The following is a GGA-PBE calculation of crystalline Tm3Zn2In4 at its relaxed geometry, from Alexandria.

Cell and atoms, written as POSCAR:
```
Tm3Zn2In4
1.0
-1.055 4.553 0.829
1.080 -1.185 -5.704
-8.203 -2.420 2.854
Tm Zn In
3 2 4
Direct
0.666 0.332 0.663
0.000 0.000 0.000
0.334 0.668 0.337
0.611 0.222 0.282
0.389 0.778 0.718
0.717 0.433 0.063
0.283 0.567 0.937
0.942 0.884 0.616
0.058 0.116 0.384
```

formation energy	-377	meV per atom
Fermi-level density of states	4.743	states/eV per cell

---

Entry 24:
The following is a GGA-PBE calculation of crystalline Tm4ZnIn3 at its relaxed geometry, from Alexandria.

Cell and atoms, written as POSCAR:
```
Tm4ZnIn3
1.0
-0.210 1.566 -3.190
-3.479 -0.742 -0.136
-3.166 13.589 6.880
Zn Tm In
1 4 3
Direct
0.500 0.500 0.000
0.000 0.000 0.891
0.000 0.000 0.109
0.000 0.000 0.369
0.000 0.000 0.631
0.500 0.500 0.238
0.500 0.500 0.500
0.500 0.500 0.762
```

formation energy	-418	meV per atom
Fermi-level density of states	4.951	states/eV per cell

---

Entry 25:
The following is a GGA-PBE calculation of crystalline Tm4Zn3In at its relaxed geometry, from Alexandria.

Cell and atoms, written as POSCAR:
```
Tm4Zn3In
1.0
-2.016 4.332 1.552
-2.403 -3.265 5.994
8.581 2.309 4.697
Zn Tm In
6 8 2
Direct
0.000 0.000 0.000
0.000 0.000 0.500
0.500 0.000 0.750
0.500 0.000 0.250
0.500 0.500 0.750
0.500 0.500 0.250
0.500 0.762 0.000
0.500 0.762 0.500
0.500 0.238 0.000
0.500 0.238 0.500
0.000 0.762 0.750
0.000 0.762 0.250
0.000 0.238 0.250
0.000 0.238 0.750
0.000 0.500 0.000
0.000 0.500 0.500
```

formation energy	-369	meV per atom
Fermi-level density of states	14.063	states/eV per cell